The following is a DFT calculation (PBE-GGA) of a relaxed Si2OsPt crystal.

Final energy: -7.348 eV/atom
Space-group type: Imm2, No. 44
Raw formation energy: -1.3 eV/f.u.

abc: 6.4394 6.4394 6.4394
angles: 154.79 147.95 41.20
With the nearest neighbours (Å) after each atom.
Fractional coordinates of all 4 atoms:
1 Si 0.0000 0.0000 0.0000  2 Os 2.45, 4 Pt 2.57
2 Si 0.7422 0.2422 0.5000  4 Os 2.44, 2 Pt 2.60
3 Os 0.1668 0.6668 0.5000  6 Si 2.44-2.45
4 Pt 0.4001 0.4001 0.0000  6 Si 2.57-2.60, 2 Pt 2.81